Entry 1:
DFT (GGA-PBE) results for Nd6Tc2Ag after structural relaxation.

Structure (CIF):
```
data_Nd6Tc2Ag
_chemical_formula_sum 'Nd24 Tc8 Ag4'
_cell_length_a 9.936
_cell_length_b 9.956
_cell_length_c 10.431
_cell_angle_alpha 90.00
_cell_angle_beta 90.00
_cell_angle_gamma 90.00
_symmetry_space_group_name_H-M 'I m m m'
_symmetry_Int_Tables_number 71
_symmetry_space_group_name_Hall '-I 2 2'
loop_
_atom_site_label
_atom_site_type_symbol
_atom_site_fract_x
_atom_site_fract_y
_atom_site_fract_z
Nd1 Nd 0.000 0.210 0.186
Nd2 Nd 0.190 0.213 0.500
Nd3 Nd 0.209 0.500 0.278
Tc1 Tc 0.000 0.000 0.386
Tc2 Tc 0.121 0.000 0.000
Ag1 Ag 0.000 0.500 0.000
Ag2 Ag 0.000 0.500 0.500
```

Properties
VASP energy = -209.6 eV/cell
DOS at the Fermi energy = 0.9112 states/eV/atom


Entry 2:
DFT (GGA-PBE) results for NdAgTe after structural relaxation.

Structure (CIF):
```
data_NdAgTe
_chemical_formula_sum 'Nd6 Ag6 Te6'
_cell_length_a 4.9536
_cell_length_b 4.9536
_cell_length_c 26.1764
_cell_angle_alpha 90.00
_cell_angle_beta 90.00
_cell_angle_gamma 120.00
_symmetry_space_group_name_H-M 'R -3 m'
_symmetry_Int_Tables_number 166
_symmetry_space_group_name_Hall '-R 3 2"'
loop_
_atom_site_label
_atom_site_type_symbol
_atom_site_fract_x
_atom_site_fract_y
_atom_site_fract_z
Nd1 Nd 0.0000 0.0000 0.0769
Ag1 Ag 0.0000 0.0000 0.3305
Te1 Te 0.0000 0.0000 0.2110
```

Properties
ΔE_f (raw) = -728.3 meV per atom
DOS at the Fermi energy = 0.5160 states/eV/atom


Entry 3:
DFT (GGA-PBE) results for NdAgTe2 after structural relaxation.

Structure (CIF):
```
data_NdAgTe2
_chemical_formula_sum 'Nd4 Ag4 Te8'
_cell_length_a 7.356
_cell_length_b 8.161
_cell_length_c 7.921
_cell_angle_alpha 90.00
_cell_angle_beta 96.14
_cell_angle_gamma 90.00
_symmetry_space_group_name_H-M 'P 1 21/c 1'
_symmetry_Int_Tables_number 14
loop_
_symmetry_equiv_pos_as_xyz
'x,y,z'
'-x,-y,-z'
'-x,y+1/2,-z+1/2'
'x,-y+1/2,z+1/2'
loop_
_atom_site_label
_atom_site_type_symbol
_atom_site_fract_x
_atom_site_fract_y
_atom_site_fract_z
Nd1 Nd 0.202 0.036 0.299
Ag1 Ag 0.423 0.663 0.461
Te1 Te 0.057 0.725 0.500
Te2 Te 0.387 0.105 0.709
```

Properties
ΔE_f (raw) = -940.1 meV per atom


| no. | calculated volume (Å³/atom) | density (g cm⁻³) |
| --- | --- | --- |
| 1 | 28.7 | 7.527 |
| 2 | 30.9 | 6.801 |
| 3 | 29.5 | 7.127 |